(1)
# BeCu2Si

A relaxed structure of BeCu2Si (PBE, the Alexandria database).

Geometry as extended XYZ:
```
4
Lattice="2.7740 0.0000 0.0000 0.0000 3.3779 0.0000 0.0000 0.0000 4.8432" Properties=species:S:1:pos:R:3 pbc="T T T"
Be 1.3870 1.6889 3.6828
Si 0.0000 0.0000 2.4138
Cu 0.0000 0.0000 4.7490
Cu 1.3870 1.6889 1.2625
```

Results
**Uncorrected formation energy**: 0.01 eV/atom
**M_tot**: 0.000 μB/f.u.
**SG**: No. 25

(2)
# Sr2LiSI

A relaxed structure of Sr2LiSI (PBE, the Alexandria database).

Geometry as extended XYZ:
```
5
Lattice="-1.6500 6.1496 -0.3767 -5.1543 -1.4412 -0.9510 -1.1758 0.0685 6.2686" Properties=species:S:1:pos:R:3 pbc="T T T"
I 0.0000 0.0000 0.0000
Sr -0.5879 0.0342 3.1343
Sr -0.8250 3.0748 -0.1883
S -2.5771 -0.7206 -0.4755
Li -3.9900 2.3885 2.4704
```

Results
**Uncorrected formation energy**: -0.12 eV/atom
**M_tot**: 0.000 μB/f.u.
**SG**: No. 123

(3)
# NdLuZnNi

A relaxed structure of NdLuZnNi (PBE, the Alexandria database).

Geometry as extended XYZ:
```
4
Lattice="4.9493 0.0000 0.0000 2.4746 4.2862 0.0000 2.4746 1.4287 4.0411" Properties=species:S:1:pos:R:3 pbc="T T T"
Ni 4.9493 2.8575 2.0205
Zn 0.0000 0.0000 0.0000
Lu 7.4239 4.2862 3.0308
Nd 2.4746 1.4287 1.0103
```

Results
**M_tot**: 0.000 μB/f.u.
**SG**: No. 216

(4)
# CaBeTl2

A relaxed structure of CaBeTl2 (PBE, the Alexandria database).

Geometry as extended XYZ:
```
4
Lattice="-4.0661 -1.1486 -4.6016 -3.8668 -4.2628 -2.4299 -4.8880 0.5302 1.2088" Properties=species:S:1:pos:R:3 pbc="T T T"
Be -6.7017 -2.2422 -2.6001
Tl -4.8437 0.4576 1.1008
Tl -9.6049 -4.0036 -4.8594
Ca -2.9689 -1.0035 -1.1664
```

Results
**Energy above the most stable polymorph in this dataset**: 0.518 eV per formula unit
**M_tot**: 0.000 μB/f.u.
**SG**: No. 8

(5)
# Cr2IrSe

A relaxed structure of Cr2IrSe (PBE, the Alexandria database).

Geometry as extended XYZ:
```
4
Lattice="3.8525 0.0000 0.0000 0.0000 2.7751 -0.0097 0.0000 1.4905 5.1361" Properties=species:S:1:pos:R:3 pbc="T T T"
Cr 0.0000 2.4538 0.0120
Cr 0.0000 2.4541 2.5415
Ir 1.9263 1.0664 1.2816
Se 1.9263 3.1992 3.8448
```

Results
**Uncorrected formation energy**: 0.24 eV/atom
**M_tot**: 1.423 μB/f.u.
**SG**: No. 10

(6)
# Ta2MnW

A relaxed structure of Ta2MnW (PBE, the Alexandria database).

Geometry as extended XYZ:
```
8
Lattice="-5.2320 -4.6063 -1.1526 0.5646 -2.3064 6.6545 -4.1413 -1.6024 3.5469" Properties=species:S:1:pos:R:3 pbc="T T T"
Mn -2.3337 -3.4564 2.7510
Mn -2.9552 -3.6826 6.4762
W 0.0000 0.0000 0.0000
W -5.8535 -4.8326 2.5726
Ta -4.0912 -3.4414 1.0298
Ta -1.4801 -2.5443 4.8701
Ta -4.8408 -3.8574 4.9060
Ta -7.2055 -7.1872 7.2917
```

Results
**M_tot**: 0.000 μB/f.u.
**SG**: No. 122

(7)
# YHoRhPb

A relaxed structure of YHoRhPb (PBE, the Alexandria database).

Geometry as extended XYZ:
```
4
Lattice="5.1405 0.0000 0.0000 2.5703 4.4518 0.0000 2.5703 1.4839 4.1972" Properties=species:S:1:pos:R:3 pbc="T T T"
Pb 5.1405 2.9679 2.0986
Y 7.7108 4.4518 3.1479
Rh 0.0000 0.0000 0.0000
Ho 2.5703 1.4839 1.0493
```

Results
**M_tot**: 0.000 μB/f.u.
**SG**: No. 216

(8)
# Mo2PbAu

A relaxed structure of Mo2PbAu (PBE, the Alexandria database).

Geometry as extended XYZ:
```
4
Lattice="-2.4224 3.0984 -2.4256 -2.0439 0.0353 2.0863 2.0106 4.2222 3.3854" Properties=species:S:1:pos:R:3 pbc="T T T"
Au -1.2362 4.7423 2.8909
Mo 1.7778 4.0554 3.4047
Mo 0.2161 2.2956 2.7165
Pb -1.2195 2.6136 0.1551
```

Results
**M_tot**: 0.000 μB/f.u.
**SG**: No. 10

(9)
# Th6CuSe5

A relaxed structure of Th6CuSe5 (PBE, the Alexandria database).

Geometry as extended XYZ:
```
12
Lattice="7.2130 0.1625 1.0885 1.7547 6.1467 3.5797 0.1164 0.0951 7.2769" Properties=species:S:1:pos:R:3 pbc="T T T"
Se 3.9835 1.1965 5.9416
Se 0.6260 2.0895 3.6024
Se 4.4838 3.1546 2.3341
Se 1.2451 4.1523 7.2542
Se 5.1005 5.2078 6.0036
Cu 0.0000 0.0000 0.0000
Th 5.6504 0.6502 3.4715
Th 2.8243 3.7297 4.7511
Th 2.2120 1.5204 1.1320
Th 6.7557 4.7889 3.5363
Th 6.2597 2.6746 7.1940
Th 3.4337 5.7541 8.4736
```

Results
**Uncorrected formation energy**: -1.29 eV/atom
**M_tot**: 0.000 μB/f.u.
**SG**: No. 12

(10)
# Cs2BeI7

A relaxed structure of Cs2BeI7 (PBE, the Alexandria database).

Geometry as extended XYZ:
```
10
Lattice="-1.3126 8.3620 2.9315 -5.9518 -3.0274 5.9707 0.8008 1.9428 8.5027" Properties=species:S:1:pos:R:3 pbc="T T T"
Cs -2.0720 6.4860 7.9426
Cs -4.3916 0.7913 9.4623
I 0.0000 0.0000 0.0000
I -1.9601 2.3940 5.9794
I -4.5035 4.8833 11.4256
I -1.7935 1.3171 2.1979
I -5.4709 4.0175 6.7043
I -2.4580 5.5500 3.6818
I -4.8064 -0.2155 5.2204
Be -3.6322 2.6673 4.4511
```

Results
**Uncorrected formation energy**: -0.61 eV/atom
**M_tot**: 1.000 μB/f.u.
**SG**: No. 139

(11)
# Y3Hg2

A relaxed structure of Y3Hg2 (PBE, the Alexandria database).

Geometry as extended XYZ:
```
5
Lattice="-2.0711 4.7180 -0.2299 -3.0247 -4.1106 0.7459 0.7118 0.6195 6.3001" Properties=species:S:1:pos:R:3 pbc="T T T"
Y 0.0000 0.0000 0.0000
Y -1.9191 2.1841 4.2541
Y -2.4649 -0.9572 2.5620
Hg -2.2654 1.8827 1.1888
Hg -2.1186 -0.6558 5.6273
```

Results
**M_tot**: 0.031 μB/f.u.
**SG**: No. 164

(12)
# La2EuSc

A relaxed structure of La2EuSc (PBE, the Alexandria database).

Geometry as extended XYZ:
```
4
Lattice="3.7627 0.0000 0.0000 0.0000 3.7627 0.0000 0.0000 0.0000 9.8468" Properties=species:S:1:pos:R:3 pbc="T T T"
Eu 1.8814 1.8814 4.9234
Sc 1.8814 1.8814 0.0000
La 0.0000 0.0000 7.6631
La 0.0000 0.0000 2.1837
```

Results
**Energy above the most stable polymorph in this dataset**: 0.000 eV per formula unit
**M_tot**: 7.145 μB/f.u.
**SG**: No. 123

What are the VASP energy values for these records? In order: -0.3178; -0.1700; -0.3224; -0.1778; -0.5632; -0.7906; -0.4451; -0.4826; -0.4996; -0.1646; -0.3139; -0.4817 Ry per atom.